1.
Computed, not measured: a relaxed LiZrCo2 crystal at the PBE-GGA level of DFT. Values from VASP.

Structure (Quantum ESPRESSO input):
```
&SYSTEM
  ibrav = 0, nat = 4, ntyp = 3
/
ATOMIC_SPECIES
Co 58.93 Co.upf
Li 6.94 Li.upf
Zr 91.22 Zr.upf
CELL_PARAMETERS angstrom
-3.300 1.241 -1.251
0.596 -1.455 -3.015
-1.781 -4.724 0.013
ATOMIC_POSITIONS angstrom
Co -2.086 -0.704 -0.791
Co 0.112 -0.273 -0.565
Li -0.463 -2.679 -1.435
Zr -2.641 -4.371 -2.963
```

***

2.
Computed, not measured: a relaxed LiZr3Co8 crystal at the PBE-GGA level of DFT. Values from VASP.

Structure (Quantum ESPRESSO input):
```
&SYSTEM
  ibrav = 0, nat = 12, ntyp = 3
/
ATOMIC_SPECIES
Zr 91.22 Zr.upf
Co 58.93 Co.upf
Li 6.94 Li.upf
CELL_PARAMETERS angstrom
4.642 0.000 1.401
2.109 4.135 1.401
-0.003 -0.002 8.397
ATOMIC_POSITIONS angstrom
Zr 3.417 2.093 5.460
Zr 2.542 1.557 8.356
Zr 6.697 4.101 2.983
Co 5.277 1.812 7.687
Co 6.330 3.877 8.387
Co 2.945 1.804 2.794
Co 1.270 0.778 4.182
Co 4.639 2.841 9.799
Co 4.008 3.887 3.501
Co 4.013 3.877 7.687
Co 5.284 1.804 3.501
Li 5.886 3.605 5.668
```

***

Energy of formation / eV per formula unit: 0.48, -2.85